No. 1
VASP calculation (PBE) on a geometry-optimized MgScRu structure.

Properties
- Density of states at the Fermi level: 1.882 states/eV per cell
- M_tot: 0.00 μB/cell
- Formation energy from the elements: -0.23 eV/f.u.

Cell lengths 3.182, 3.182, 6.607 Å; angles 90.00, 90.00, 120.00 degrees
Fractional positions:
Mg 0.000 0.000 0.000
Sc 0.333 0.667 0.581
Ru 0.667 0.333 0.308

No. 2
VASP calculation (PBE) on a geometry-optimized PrDyNiHg structure.

Properties
- Density of states at the Fermi level: 14.208 states/eV per cell
- M_tot: 0.00 μB/cell
- Formation energy from the elements: -1.17 eV/f.u.

Cell lengths 7.294, 7.294, 7.294 Å; angles 90.00, 90.00, 90.00 degrees
Fractional positions:
Pr 0.000 0.000 0.000
Pr 0.000 0.500 0.500
Pr 0.500 0.000 0.500
Pr 0.500 0.500 0.000
Dy 0.000 0.000 0.500
Dy 0.000 0.500 0.000
Dy 0.500 0.000 0.000
Dy 0.500 0.500 0.500
Ni 0.250 0.250 0.750
Ni 0.250 0.750 0.250
Ni 0.750 0.250 0.250
Ni 0.750 0.750 0.750
Hg 0.250 0.250 0.250
Hg 0.250 0.750 0.750
Hg 0.750 0.250 0.750
Hg 0.750 0.750 0.250

No. 3
VASP calculation (PBE) on a geometry-optimized CsPdS4 structure.

Properties
- Density of states at the Fermi level: 6.180 states/eV per cell
- Raw formation energy: -1.029 eV/f.u.
- M_tot: 0.00 μB/cell

Cell lengths 8.100, 8.100, 8.100 Å; angles 118.34, 118.34, 92.91 degrees
Fractional positions:
Cs 0.375 0.125 0.250
Cs 0.625 0.875 0.750
Pd 0.125 0.375 0.750
Pd 0.875 0.625 0.250
S 0.021 0.935 0.326
S 0.108 0.695 0.174
S 0.195 0.521 0.587
S 0.435 0.608 0.913
S 0.565 0.392 0.087
S 0.805 0.479 0.413
S 0.892 0.305 0.826
S 0.979 0.065 0.674

No. 4
VASP calculation (PBE) on a geometry-optimized Sm2PuHfAs4 structure.

Properties
- Density of states at the Fermi level: 12.413 states/eV per cell
- M_tot: 5.22 μB/cell
- Formation energy from the elements: -10.15 eV/f.u.

Cell lengths 7.067, 4.086, 7.087 Å; angles 90.00, 109.22, 90.00 degrees
Fractional positions:
Sm 0.000 0.000 0.000
Sm 0.500 0.500 0.000
Pu 0.000 0.500 0.500
Hf 0.500 0.000 0.500
As 0.255 0.000 0.736
As 0.265 0.500 0.269
As 0.735 0.500 0.731
As 0.745 0.000 0.264

No. 5
VASP calculation (PBE) on a geometry-optimized Cr5Pb4 structure.

Properties
- Density of states at the Fermi level: 10.932 states/eV per cell
- M_tot: 39.47 μB/cell
- Formation energy from the elements: 6.47 eV/f.u.

Cell lengths 8.509, 8.509, 6.222 Å; angles 90.00, 90.00, 120.00 degrees
Fractional positions:
Cr 0.000 0.311 0.250
Cr 0.000 0.689 0.750
Cr 0.311 0.000 0.250
Cr 0.311 0.311 0.750
Cr 0.333 0.667 0.000
Cr 0.333 0.667 0.500
Cr 0.667 0.333 0.000
Cr 0.667 0.333 0.500
Cr 0.689 0.000 0.750
Cr 0.689 0.689 0.250
Pb 0.000 0.000 0.000
Pb 0.000 0.000 0.500
Pb 0.000 0.364 0.750
Pb 0.000 0.636 0.250
Pb 0.364 0.000 0.750
Pb 0.364 0.364 0.250
Pb 0.636 0.000 0.250
Pb 0.636 0.636 0.750

No. 6
VASP calculation (PBE) on a geometry-optimized HfMnZnCu2 structure.

Properties
- Density of states at the Fermi level: 2.813 states/eV per cell
- M_tot: 2.61 μB/cell
- Formation energy from the elements: 6.71 eV/f.u.

Cell lengths 4.893, 4.893, 4.670 Å; angles 90.00, 90.00, 90.00 degrees
Fractional positions:
Hf 0.000 0.000 0.000
Mn 0.000 0.000 0.500
Zn 0.500 0.500 0.500
Cu 0.000 0.500 0.000
Cu 0.500 0.000 0.000

No. 7
VASP calculation (PBE) on a geometry-optimized CeTc4C2 structure.

Properties
- Density of states at the Fermi level: 11.564 states/eV per cell
- M_tot: 0.76 μB/cell
- Formation energy from the elements: 0.33 eV/f.u.

Cell lengths 3.939, 13.576, 3.884 Å; angles 90.00, 90.00, 90.00 degrees
Fractional positions:
Ce 0.000 0.000 0.000
Ce 0.500 0.500 0.000
Tc 0.000 0.176 0.500
Tc 0.000 0.316 0.000
Tc 0.000 0.684 0.000
Tc 0.000 0.824 0.500
Tc 0.500 0.184 0.000
Tc 0.500 0.324 0.500
Tc 0.500 0.676 0.500
Tc 0.500 0.816 0.000
C 0.000 0.375 0.500
C 0.000 0.625 0.500
C 0.500 0.125 0.500
C 0.500 0.875 0.500

No. 8
VASP calculation (PBE) on a geometry-optimized Rb3Li4Te4 structure.

Properties
- Density of states at the Fermi level: 12.669 states/eV per cell
- Raw formation energy: -10.426 eV/f.u.
- M_tot: 0.00 μB/cell

Cell lengths 7.708, 7.708, 7.708 Å; angles 109.47, 109.47, 109.47 degrees
Fractional positions:
Rb 0.000 0.500 0.500
Rb 0.500 0.000 0.500
Rb 0.500 0.500 0.000
Li 0.000 0.000 0.734
Li 0.000 0.734 0.000
Li 0.266 0.266 0.266
Li 0.734 0.000 0.000
Te 0.000 0.000 0.362
Te 0.000 0.362 0.000
Te 0.362 0.000 0.000
Te 0.638 0.638 0.638

No. 9
VASP calculation (PBE) on a geometry-optimized TaCl3 structure.

Properties
- Density of states at the Fermi level: 5.323 states/eV per cell
- Raw formation energy: 1.269 eV/f.u.
- M_tot: 0.00 μB/cell

Cell lengths 5.260, 8.865, 3.178 Å; angles 90.00, 90.00, 90.00 degrees
Fractional positions:
Ta 0.000 0.000 0.000
Ta 0.500 0.500 0.000
Cl 0.000 0.500 0.000
Cl 0.250 0.250 0.500
Cl 0.250 0.750 0.500
Cl 0.500 0.000 0.000
Cl 0.750 0.250 0.500
Cl 0.750 0.750 0.500

No. 10
VASP calculation (PBE) on a geometry-optimized InSiAs2Br structure.

Properties
- Excess energy over the best structure of this formula in the dataset: 0.000 eV/atom
- Density of states at the Fermi level: 3.391 states/eV per cell
- Raw formation energy: 1.618 eV/f.u.
- M_tot: 0.63 μB/cell

Cell lengths 4.812, 4.812, 5.552 Å; angles 90.00, 90.00, 90.00 degrees
Fractional positions:
In 0.000 0.000 0.000
Si 0.500 0.500 0.500
As 0.000 0.500 0.500
As 0.500 0.000 0.500
Br 0.500 0.500 0.000

No. 11
VASP calculation (PBE) on a geometry-optimized SrLaEr2 structure.

Properties
- Excess energy over the best structure of this formula in the dataset: 0.109 eV/atom
- Density of states at the Fermi level: 18.213 states/eV per cell
- M_tot: 0.00 μB/cell
- Formation energy from the elements: 0.96 eV/f.u.

Cell lengths 3.630, 3.630, 38.529 Å; angles 90.00, 90.00, 120.00 degrees
Fractional positions:
Sr 0.000 0.000 0.000
Sr 0.333 0.667 0.667
Sr 0.667 0.333 0.333
La 0.000 0.000 0.500
La 0.333 0.667 0.167
La 0.667 0.333 0.833
Er 0.000 0.000 0.092
Er 0.000 0.000 0.908
Er 0.333 0.667 0.575
Er 0.333 0.667 0.758
Er 0.667 0.333 0.242
Er 0.667 0.333 0.425

No. 12
VASP calculation (PBE) on a geometry-optimized Al2NiOs structure.

Properties
- Density of states at the Fermi level: 3.550 states/eV per cell
- M_tot: 0.00 μB/cell
- Formation energy from the elements: 0.49 eV/f.u.

Cell lengths 6.518, 6.518, 5.407 Å; angles 90.00, 90.00, 90.00 degrees
Fractional positions:
Al 0.223 0.250 0.125
Al 0.250 0.723 0.375
Al 0.250 0.777 0.875
Al 0.277 0.250 0.625
Al 0.723 0.750 0.625
Al 0.750 0.223 0.875
Al 0.750 0.277 0.375
Al 0.777 0.750 0.125
Ni 0.000 0.000 0.000
Ni 0.000 0.500 0.250
Ni 0.500 0.000 0.750
Ni 0.500 0.500 0.500
Os 0.000 0.000 0.500
Os 0.000 0.500 0.750
Os 0.500 0.000 0.250
Os 0.500 0.500 0.000

No. 13
VASP calculation (PBE) on a geometry-optimized DyAg4Sb structure.

Properties
- Density of states at the Fermi level: 2.635 states/eV per cell
- Raw formation energy: -0.996 eV/f.u.
- M_tot: 0.00 μB/cell

Cell lengths 5.649, 5.649, 5.649 Å; angles 60.00, 60.00, 60.00 degrees
Fractional positions:
Dy 0.000 0.000 0.000
Ag 0.124 0.625 0.625
Ag 0.625 0.124 0.625
Ag 0.625 0.625 0.124
Ag 0.625 0.625 0.625
Sb 0.250 0.250 0.250